[1]
Material: Ba6Mg3Cd
Method: DFT, PBE-GGA
State: optimized geometry

Lattice parameters (Å, degrees): 10.6405 6.2371 14.3300 90.00 111.18 90.00
Closest atoms and distances in Å follow each position.
Space group P2_1/m (No. 11)
Symmetry-distinct sites (fractional):
Ba  0.0087  0.2500  0.1503 x2  4 Mg 3.83-3.98, 6 Ba 4.13-4.20
Ba  0.0132  0.7500  0.3430 x2  1 Cd 3.56, 3 Mg 3.64-3.68
Ba  0.2576  0.2500  0.5046 x2  3 Cd 3.71-3.78, 3 Mg 3.71-4.03, 1 Ba 4.11
Ba  0.2601  0.7500  0.1420 x2  1 Cd 3.56, 3 Mg 3.87-3.98
Ba  0.4101  0.7500  0.9173 x2  6 Mg 3.62-3.99, 3 Ba 3.97-4.01
Ba  0.4800  0.2500  0.3224 x2  3 Cd 3.61-3.69, 1 Mg 3.65, 1 Ba 4.01
Mg  0.1640  0.7500  0.6450 x2  8 Ba 3.65-4.04, 2 Mg 3.83
Mg  0.2030  0.2500  0.9592 x2  1 Mg 3.46, 3 Ba 3.83-3.85
Mg  0.3519  0.2500  0.7806 x2  3 Mg 3.46-3.83, 5 Ba 3.62-3.87
Cd  0.3693  0.7500  0.4077 x2  8 Ba 3.56-3.78

Calculated formation energy (eV per atom): -0.0676
M_tot (μB per cell): 0.0

[2]
Material: Rb2TlTe2
Method: DFT, PBE-GGA
State: optimized geometry

Lattice parameters (Å, degrees): 10.5707 10.5707 3.6518 90.00 90.00 90.00
Closest atoms and distances in Å follow each position.
Space group P4/mbm (No. 127)
Symmetry-distinct sites (fractional):
Rb  0.1259  0.3741  0.0000 x4  6 Te 3.53-3.67, 3 Rb 3.65-3.76
Tl  0.0000  0.0000  0.5000 x2  2 Tl 3.65, 4 Te 3.91
Te  0.1722  0.6722  0.5000 x4  6 Rb 3.53-3.67, 2 Te 3.65, 2 Tl 3.91

Formation energy from raw total energies (eV/atom): -0.561
Excess energy over the best structure of this formula in the dataset (meV/atom): 169
M_tot (μB per cell): 0.0

[3]
Material: AlGeBi
Method: DFT, PBE-GGA
State: optimized geometry

Lattice parameters (Å, degrees): 4.3798 4.3798 9.8075 90.00 90.00 120.00
Closest atoms and distances in Å follow each position.
Space group P-3m1 (No. 164)
Symmetry-distinct sites (fractional):
Al  0.3333  0.6667  0.2966 x2  4 Ge 2.74-2.82, 3 Bi 2.86
Ge  0.3333  0.6667  0.5760 x2  4 Al 2.74-2.82, 3 Ge 2.94
Bi  0.0000  0.0000  0.1596 x2  3 Al 2.86, 1 Bi 3.13

Calculated formation energy (eV per atom): 0.1789
M_tot (μB per cell): 0.0

[4]
Material: ScReI2O
Method: DFT, PBE-GGA
State: optimized geometry

Lattice parameters (Å, degrees): 5.6333 5.6333 3.7621 90.00 90.00 90.00
Closest atoms and distances in Å follow each position.
Space group P4/mmm (No. 123)
Symmetry-distinct sites (fractional):
Sc  0.0000  0.0000  0.0000 x1  8 I 3.39, 2 Sc 3.76
Re  0.5000  0.5000  0.5000 x1  2 O 1.88
I  0.0000  0.5000  0.5000 x2  2 Re 2.82
O  0.5000  0.5000  0.0000 x1  2 Re 1.88

Formation energy from raw total energies (eV/atom): -0.126
Excess energy over the best structure of this formula in the dataset (meV/atom): 0
M_tot (μB per cell): 1.2

[5]
Material: Tb12Ho7Bi
Method: DFT, PBE-GGA
State: optimized geometry

Lattice parameters (Å, degrees): 11.9666 11.9666 17.0823 90.00 90.00 120.00
Closest atoms and distances in Å follow each position.
Space group R-3 (No. 148, hexagonal axes)
Symmetry-distinct sites (fractional):
Tb  0.0248  0.4422  0.1755 x18  5 Tb 3.15-3.45, 2 Ho 3.20-3.35, 1 Bi 3.31
Tb  0.0419  0.8620  0.8389 x18  6 Tb 3.15-3.45, 2 Ho 3.34-3.37
Ho  0.0000  0.0000  0.0000 x3  6 Tb 3.37
Ho  0.0176  0.8288  0.3250 x18  3 Tb 3.20-3.35, 1 Ho 3.53
Bi  0.0000  0.0000  0.5000 x3  6 Tb 3.31, 6 Ho 3.69

Calculated formation energy (eV per atom): 0.4290
M_tot (μB per cell): 0.0

[6]
Material: NbRe2Mo
Method: DFT, PBE-GGA
State: optimized geometry

Lattice parameters (Å, degrees): 7.2420 7.2420 5.2766 90.00 90.00 90.00
Closest atoms and distances in Å follow each position.
Space group I-42d (No. 122)
Symmetry-distinct sites (fractional):
Nb  0.0000  0.0000  0.0000 x4  2 Mo 2.64, 4 Re 2.71
Re  0.2366  0.2500  0.6250 x8  2 Mo 2.58, 2 Re 2.65, 2 Nb 2.71
Mo  0.0000  0.0000  0.5000 x4  4 Re 2.58, 2 Nb 2.64

Calculated formation energy (eV per atom): 0.7629
Excess energy over the best structure of this formula in the dataset (meV/atom): 843
M_tot (μB per cell): 0.0

[7]
Material: ZrAg2Cl
Method: DFT, PBE-GGA
State: optimized geometry

Lattice parameters (Å, degrees): 3.2879 3.3782 8.0763 90.00 91.39 90.00
Closest atoms and distances in Å follow each position.
Space group Pm (No. 6)
Symmetry-distinct sites (fractional):
Zr  0.0000  0.0000  0.0000 x1  2 Cl 2.57
Ag  0.0243  0.0000  0.4097 x1  4 Ag 2.83
Ag  0.5127  0.5000  0.2151 x1  4 Ag 2.83, 4 Zr 2.93
Cl  0.9841  0.5000  0.7596 x1  2 Zr 2.57

Formation energy from raw total energies (eV/atom): -0.356
Excess energy over the best structure of this formula in the dataset (meV/atom): 46
M_tot (μB per cell): 0.0

[8]
Material: Ba4TmBi3O12
Method: DFT, PBE-GGA
State: optimized geometry

Lattice parameters (Å, degrees): 8.7639 8.7639 8.7639 90.00 90.00 90.00
Closest atoms and distances in Å follow each position.
Space group Im-3m (No. 229)
Symmetry-distinct sites (fractional):
Ba  0.2500  0.2500  0.2500 x8  12 O 3.10
Tm  0.0000  0.0000  0.0000 x2  6 O 2.20
Bi  0.0000  0.0000  0.5000 x6  6 O 2.18-2.19
O  0.0000  0.0000  0.2516 x12  1 Bi 2.18, 1 Tm 2.20
O  0.0000  0.2500  0.5000 x12  2 Bi 2.19

Formation energy from raw total energies (eV/atom): -2.090
M_tot (μB per cell): 0.0

[9]
Material: Pm3YGa4
Method: DFT, PBE-GGA
State: optimized geometry

Lattice parameters (Å, degrees): 5.1489 5.1489 25.3236 90.00 90.00 120.00
Closest atoms and distances in Å follow each position.
Space group R-3m (No. 166, hexagonal axes)
Symmetry-distinct sites (fractional):
Pm  0.0000  0.0000  0.0000 x3  8 Ga 3.16-3.18
Pm  0.0000  0.0000  0.2494 x6  8 Ga 3.13-3.20
Y  0.0000  0.0000  0.5000 x3  8 Ga 3.14-3.15
Ga  0.0000  0.0000  0.1258 x6  5 Pm 3.13-3.18, 3 Y 3.15
Ga  0.0000  0.0000  0.3759 x6  1 Y 3.14, 7 Pm 3.15-3.20

Calculated formation energy (eV per atom): -0.5744
M_tot (μB per cell): 0.0

[10]
Material: Be2InPb
Method: DFT, PBE-GGA
State: optimized geometry

Lattice parameters (Å, degrees): 6.1774 7.7586 3.2079 90.00 90.00 90.00
Closest atoms and distances in Å follow each position.
Space group Cmmm (No. 65)
Symmetry-distinct sites (fractional):
Be  0.2500  0.2500  0.0000 x4  4 In 2.95, 4 Pb 2.95, 4 Be 3.09-3.21
In  0.0000  0.0000  0.5000 x2  8 Be 2.95, 2 Pb 3.09, 2 In 3.21
Pb  0.0000  0.5000  0.5000 x2  8 Be 2.95, 2 In 3.09, 2 Pb 3.21

Calculated formation energy (eV per atom): 0.7554
Excess energy over the best structure of this formula in the dataset (meV/atom): 409
M_tot (μB per cell): 0.0

[11]
Material: LiTaGe2As
Method: DFT, PBE-GGA
State: optimized geometry

Lattice parameters (Å, degrees): 4.2046 4.2046 5.0037 90.00 90.00 90.00
Closest atoms and distances in Å follow each position.
Space group P4/mmm (No. 123)
Symmetry-distinct sites (fractional):
Li  0.0000  0.0000  0.0000 x1  4 Ge 2.10
Ta  0.0000  0.0000  0.5000 x1  2 Li 2.50
Ge  0.0000  0.5000  0.0000 x2  2 Li 2.10
As  0.5000  0.5000  0.5000 x1  4 Ta 2.97, 8 Ge 3.27

Calculated formation energy (eV per atom): 0.7649
Excess energy over the best structure of this formula in the dataset (meV/atom): 0
M_tot (μB per cell): 0.0

[12]
Material: Nd2FeCo
Method: DFT, PBE-GGA
State: optimized geometry

Lattice parameters (Å, degrees): 3.9424 3.9424 21.7237 90.00 90.00 120.00
Closest atoms and distances in Å follow each position.
Space group R3m (No. 160, hexagonal axes)
Symmetry-distinct sites (fractional):
Nd  0.0000  0.0000  0.0000 x3  3 Fe 2.97, 3 Co 3.04
Nd  0.0000  0.0000  0.1802 x3  3 Co 2.97, 3 Fe 3.03
Fe  0.0000  0.0000  0.4212 x3  3 Co 2.28
Co  0.0000  0.0000  0.7593 x3  3 Fe 2.28

Calculated formation energy (eV per atom): -0.0372
M_tot (μB per cell): 6.3

[13]
Material: Ca5Sn3H
Method: DFT, PBE-GGA
State: optimized geometry

Lattice parameters (Å, degrees): 8.1909 8.1909 14.9047 90.00 90.00 90.00
Closest atoms and distances in Å follow each position.
Space group I4/mcm (No. 140)
Symmetry-distinct sites (fractional):
Ca  0.0000  0.0000  0.0000 x4  4 Sn 3.23
Ca  0.1613  0.3387  0.1521 x16  1 H 2.37
Sn  0.0000  0.0000  0.2500 x4  10 Ca 3.40-3.73
Sn  0.1270  0.3730  0.5000 x8  1 Sn 2.94, 6 Ca 3.23-3.29
H  0.0000  0.5000  0.2500 x4  4 Ca 2.37

Raw total energy (eV per atom): -3.484
M_tot (μB per cell): 0.0

[14]
Material: YMn3V
Method: DFT, PBE-GGA
State: optimized geometry

Lattice parameters (Å, degrees): 4.4750 4.4750 4.4750 90.00 90.00 90.00
Closest atoms and distances in Å follow each position.
Space group Pm-3m (No. 221)
Symmetry-distinct sites (fractional):
Y  0.0000  0.0000  0.0000 x1  12 Mn 3.16
Mn  0.0000  0.5000  0.5000 x3  2 V 2.24
V  0.5000  0.5000  0.5000 x1  6 Mn 2.24

Calculated formation energy (eV per atom): 0.5044
Excess energy over the best structure of this formula in the dataset (meV/atom): 0
M_tot (μB per cell): 6.5

[15]
Material: La3Tb3Dy
Method: DFT, PBE-GGA
State: optimized geometry

Lattice parameters (Å, degrees): 9.7868 9.7868 5.8303 90.00 90.00 120.00
Closest atoms and distances in Å follow each position.
Space group P6_3/m (No. 176)
Symmetry-distinct sites (fractional):
La  0.0962  0.6232  0.2500 x6  3 Dy 3.62-3.71, 5 Tb 3.62-3.77, 4 La 3.65-3.71
Tb  0.0455  0.8124  0.7500 x6  6 Tb 3.59-3.63, 5 La 3.62-3.77, 1 Dy 3.74
Dy  0.3333  0.6667  0.7500 x2  9 La 3.62-3.71, 3 Tb 3.74

Calculated formation energy (eV per atom): 0.0363
Excess energy over the best structure of this formula in the dataset (meV/atom): 0
M_tot (μB per cell): 0.0

[16]
Material: SrCaTa2
Method: DFT, PBE-GGA
State: optimized geometry

Lattice parameters (Å, degrees): 3.0362 5.6051 6.7625 90.00 101.79 90.00
Closest atoms and distances in Å follow each position.
Space group P2/m (No. 10)
Symmetry-distinct sites (fractional):
Sr  0.0000  0.0000  0.0000 x1  2 Sr 3.04
Ca  0.5000  0.0000  0.5000 x1  2 Ca 3.04, 4 Ta 3.14
Ta  0.2890  0.5000  0.6702 x2  2 Ta 2.59-2.85

Calculated formation energy (eV per atom): 0.9339
Excess energy over the best structure of this formula in the dataset (meV/atom): 500
M_tot (μB per cell): 0.0